No. 1
This record from Alexandria via LeMat-Bulk describes an optimized crystal structure of Ce2ScS2O2. The functional is PBE.

Unit cell a=4.1172 b=4.1172 c=7.9019 alpha=105.10 beta=105.10 gamma=90.00
Site moments in Bohr magnetons follow the coordinates.
Atoms (fractional coordinates):
Ce 0.6265 0.6265 0.2529  1.10
S 0.8240 0.8240 0.6479  -0.02
Sc 0.0000 0.0000 0.0000  0.14
Ce 0.3735 0.3735 0.7471  1.10
S 0.1760 0.1760 0.3521  -0.02
O 0.5000 0.0000 0.0000  -0.02
O 0.0000 0.5000 0.0000  -0.02

Calculated values
SG	No. 139
raw formation energy	-2.61	eV/atom
D(E_F)	13.59	states/eV/cell

No. 2
This record from Alexandria via LeMat-Bulk describes an optimized crystal structure of BaOs2I. The functional is PBE.

Unit cell a=4.9982 b=4.9982 c=4.9982 alpha=60.00 beta=60.00 gamma=60.00
Atoms (fractional coordinates):
Os 0.7500 0.7500 0.7500
Os 0.2500 0.2500 0.2500
Ba 0.5000 0.5000 0.5000
I 0.0000 0.0000 0.0000

Calculated values
SG	No. 225
energy relative to the lowest polymorph listed for this composition	206	meV/atom
raw formation energy	1.77	eV/atom
D(E_F)	4.97	states/eV/cell

Q: Look up the D(E_F) of the first one.
A: 13.59 states/eV/cell

Q: D(E_F) of number 1 (Ce2ScS2O2)?
A: 13.59 states/eV/cell